1.
# Ac2BeSn4Pd3 PBE relaxed
# - V (Å³ per cell) = 235.5
# - E_form (eV/atom) = -0.677
# - energy (eV/atom) = -5.030
data_Ac2BeSn4Pd3
_cell_length_a 4.629
_cell_length_b 4.629
_cell_length_c 10.994
_cell_angle_alpha 90.00
_cell_angle_beta 90.00
_cell_angle_gamma 90.00
_space_group_name_H-M_alt 'P -4 m 2'
_space_group_IT_number 115
_space_group_name_Hall 'P -4 -2'
loop_
_atom_site_label
_atom_site_fract_x
_atom_site_fract_y
_atom_site_fract_z
Ac1 0.000 0.500 0.240
Be1 0.500 0.500 0.000
Sn1 0.000 0.000 0.500
Sn2 0.000 0.500 0.879
Sn3 0.500 0.500 0.500
Pd1 0.000 0.000 0.000
Pd2 0.000 0.500 0.634

***

2.
# Ac2TbBe2Pd7 PBE relaxed
# - V (Å³ per cell) = 464.8
# - E_form (eV/atom) = -0.751
# - energy (eV/atom) = -5.472
data_Ac2TbBe2Pd7
_cell_length_a 6.003
_cell_length_b 5.946
_cell_length_c 13.141
_cell_angle_alpha 90.00
_cell_angle_beta 97.70
_cell_angle_gamma 90.00
_space_group_name_H-M_alt 'C 1 2/m 1'
_space_group_IT_number 12
_space_group_name_Hall '-C 2y'
loop_
_atom_site_label
_atom_site_fract_x
_atom_site_fract_y
_atom_site_fract_z
Ac1 0.091 0.000 0.349
Tb1 0.000 0.000 0.000
Be1 0.066 0.500 0.232
Pd1 0.000 0.500 0.000
Pd2 0.107 0.500 0.413
Pd3 0.206 0.250 0.842

***

3.
# Ac3Be2TlPd9 PBE relaxed
# - V (Å³ per cell) = 310.6
# - E_form (eV/atom) = -0.576
# - energy (eV/atom) = -5.168
data_Ac3Be2TlPd9
_cell_length_a 6.9606
_cell_length_b 6.9606
_cell_length_c 7.4031
_cell_angle_alpha 90.00
_cell_angle_beta 90.00
_cell_angle_gamma 120.00
_space_group_name_H-M_alt 'P -3 m 1'
_space_group_IT_number 164
_space_group_name_Hall '-P 3 2"'
loop_
_atom_site_label
_atom_site_fract_x
_atom_site_fract_y
_atom_site_fract_z
Ac1 0.0000 0.0000 0.0000
Ac2 0.3333 0.6667 0.6643
Be1 0.3333 0.6667 0.1208
Tl1 0.0000 0.0000 0.5000
Pd1 0.0000 0.5000 0.0000
Pd2 0.1921 0.3841 0.3108

***

4.
# Ac2TmBePd6 PBE relaxed
# - V (Å³ per cell) = 444.1
# - E_form (eV/atom) = -0.651
# - energy (eV/atom) = -5.408
data_Ac2TmBePd6
_cell_length_a 10.527
_cell_length_b 6.075
_cell_length_c 7.788
_cell_angle_alpha 90.00
_cell_angle_beta 116.92
_cell_angle_gamma 90.00
_space_group_name_H-M_alt 'C 1 2/m 1'
_space_group_IT_number 12
_space_group_name_Hall '-C 2y'
loop_
_atom_site_label
_atom_site_fract_x
_atom_site_fract_y
_atom_site_fract_z
Ac1 0.250 0.000 0.250
Tm1 0.000 0.000 0.500
Be1 0.000 0.500 0.000
Pd1 0.026 0.240 0.818
Pd2 0.234 0.500 0.181

***

5.
# Ac2YBe2Pd7 PBE relaxed
# - V (Å³ per cell) = 464.8
# - E_form (eV/atom) = -0.747
# - energy (eV/atom) = -5.620
data_Ac2YBe2Pd7
_cell_length_a 6.009
_cell_length_b 5.954
_cell_length_c 13.111
_cell_angle_alpha 90.00
_cell_angle_beta 97.69
_cell_angle_gamma 90.00
_space_group_name_H-M_alt 'C 1 2/m 1'
_space_group_IT_number 12
_space_group_name_Hall '-C 2y'
loop_
_atom_site_label
_atom_site_fract_x
_atom_site_fract_y
_atom_site_fract_z
Ac1 0.090 0.000 0.350
Y1 0.000 0.000 0.000
Be1 0.065 0.500 0.232
Pd1 0.000 0.500 0.000
Pd2 0.106 0.500 0.412
Pd3 0.207 0.250 0.842

***

6.
# Ac2BeZnPd6 PBE relaxed
# - V (Å³ per cell) = 400.6
# - E_form (eV/atom) = -0.679
# - energy (eV/atom) = -5.116
data_Ac2BeZnPd6
_cell_length_a 10.474
_cell_length_b 6.029
_cell_length_c 7.260
_cell_angle_alpha 90.00
_cell_angle_beta 119.10
_cell_angle_gamma 90.00
_space_group_name_H-M_alt 'C 1 2/m 1'
_space_group_IT_number 12
_space_group_name_Hall '-C 2y'
loop_
_atom_site_label
_atom_site_fract_x
_atom_site_fract_y
_atom_site_fract_z
Ac1 0.234 0.000 0.202
Be1 0.000 0.000 0.500
Zn1 0.000 0.500 0.000
Pd1 0.023 0.261 0.308
Pd2 0.239 0.000 0.689